Entry from the Alexandria database: crystalline DyTm2Hg9 at its relaxed geometry (PBE).

Summary:
E_tot, eV/atom: -1.647
Magnetic moment, μB/atom: 0.00
D(E_F), states/eV/atom: 0.528

a b c (Å): 4.4814 4.4814 14.4125
angles (deg): 90.00 90.00 90.00
Closest atoms and distances in Å follow each position.
Space group P4/mmm (No. 123)
Inequivalent atoms, fractional coordinates:
1 Dy 0.0000 0.0000 0.0000 (multiplicity 1)  12 Hg 3.17-3.30
2 Tm 0.0000 0.0000 0.3343 (multiplicity 2)  12 Hg 3.17-3.28
3 Hg 0.0000 0.5000 0.1680 (multiplicity 4)  8 Hg 3.17-3.30, 2 Tm 3.28, 2 Dy 3.30
4 Hg 0.0000 0.5000 0.5000 (multiplicity 2)  8 Hg 3.17-3.28, 4 Tm 3.27
5 Hg 0.5000 0.5000 0.0000 (multiplicity 1)  4 Dy 3.17, 8 Hg 3.30
6 Hg 0.5000 0.5000 0.3335 (multiplicity 2)  4 Tm 3.17, 8 Hg 3.27-3.28



Entry from the Alexandria database: crystalline Dy5TmHg3 at its relaxed geometry (PBE).

Summary:
E_tot, eV/atom: -3.469
Magnetic moment, μB/atom: 0.00
D(E_F), states/eV/atom: 0.385

a b c (Å): 9.0687 9.0687 6.8805
angles (deg): 90.00 90.00 120.00
Closest atoms and distances in Å follow each position.
Space group P6_3/mcm (No. 193)
Inequivalent atoms, fractional coordinates:
1 Dy 0.0000 0.3323 0.2500 (multiplicity 6)  3 Hg 3.02-3.03
2 Dy 0.3333 0.6667 0.0000 (multiplicity 4)  8 Dy 3.44-3.48, 6 Hg 3.48
3 Tm 0.0000 0.0000 0.0000 (multiplicity 2)  2 Tm 3.44, 6 Dy 3.47, 6 Hg 3.48
4 Hg 0.0000 0.3336 0.7500 (multiplicity 6)  3 Dy 3.02-3.03



Entry from the Alexandria database: crystalline Dy9Tm4Hg11 at its relaxed geometry (PBE).

Summary:
E_tot, eV/atom: -2.979
Magnetic moment, μB/atom: 0.08
D(E_F), states/eV/atom: 0.956

a b c (Å): 15.7003 22.4353 3.5335
angles (deg): 90.00 90.00 90.00
Closest atoms and distances in Å follow each position.
Space group Cmmm (No. 65)
Inequivalent atoms, fractional coordinates:
1 Dy 0.0000 0.0000 0.0000 (multiplicity 2)  4 Tm 3.20, 4 Hg 3.39, 2 Dy 3.53
2 Dy 0.1145 0.2372 0.0000 (multiplicity 8)  8 Hg 3.19-3.50, 1 Tm 3.45, 2 Dy 3.53
3 Dy 0.1155 0.4113 0.0000 (multiplicity 8)  8 Hg 3.20-3.26, 1 Tm 3.51, 2 Dy 3.53
4 Tm 0.1611 0.0871 0.0000 (multiplicity 8)  6 Hg 3.13-3.22, 2 Dy 3.20-3.45
5 Hg 0.0000 0.1288 0.5000 (multiplicity 4)  4 Tm 3.22, 6 Dy 3.39-3.50, 2 Hg 3.53
6 Hg 0.0000 0.3244 0.5000 (multiplicity 4)  8 Dy 3.19-3.20, 2 Hg 3.53
7 Hg 0.0000 0.5000 0.5000 (multiplicity 2)  8 Dy 3.22, 2 Hg 3.53
8 Hg 0.2310 0.5000 0.5000 (multiplicity 4)  4 Tm 3.13, 4 Dy 3.22
9 Hg 0.2350 0.3220 0.5000 (multiplicity 8)  2 Tm 3.15, 6 Dy 3.21-3.26, 1 Hg 3.27



Entry from the Alexandria database: crystalline Dy2Tm3Hg3 at its relaxed geometry (PBE).

Summary:
E_tot, eV/atom: -3.293
Magnetic moment, μB/atom: 0.00
D(E_F), states/eV/atom: 0.933

a b c (Å): 3.7123 5.2298 21.8586
angles (deg): 90.00 90.00 90.00
Closest atoms and distances in Å follow each position.
Space group Immm (No. 71)
Inequivalent atoms, fractional coordinates:
1 Dy 0.0000 0.0000 0.2320 (multiplicity 4)  2 Hg 3.12, 4 Dy 3.30
2 Tm 0.0000 0.0000 0.0000 (multiplicity 2)  8 Hg 3.16-3.21
3 Tm 0.0000 0.5000 0.1209 (multiplicity 4)  6 Hg 3.21-3.23, 2 Dy 3.57
4 Hg 0.0000 0.0000 0.5000 (multiplicity 2)  8 Tm 3.21-3.23
5 Hg 0.0000 0.5000 0.3828 (multiplicity 4)  2 Dy 3.12, 6 Tm 3.16-3.21



Entry from the Alexandria database: crystalline Dy3TmHg2 at its relaxed geometry (PBE).

Summary:
Magnetic moment, μB/atom: 0.00
E above lowest polymorph, meV per atom: 0.0
D(E_F), states/eV/atom: 0.370

a b c (Å): 5.1161 9.2134 6.9835
angles (deg): 90.00 90.00 90.00
Closest atoms and distances in Å follow each position.
Space group Pmc2_1 (No. 26)
Inequivalent atoms, fractional coordinates:
1 Dy 0.0000 0.0531 0.0000 (multiplicity 2)  3 Hg 3.13-3.22, 1 Dy 3.48
2 Dy 0.0000 0.3275 0.3416 (multiplicity 2)  4 Hg 3.01-3.10
3 Dy 0.5000 0.1759 0.6874 (multiplicity 2)  4 Hg 3.04-3.09
4 Tm 0.5000 0.4467 0.0302 (multiplicity 2)  3 Hg 3.13-3.22, 1 Dy 3.46
5 Hg 0.0000 0.3496 0.7803 (multiplicity 2)  5 Dy 3.01-3.13, 2 Tm 3.22
6 Hg 0.5000 0.1509 0.2495 (multiplicity 2)  6 Dy 3.04-3.22, 1 Tm 3.13



Entry from the Alexandria database: crystalline DyTmHg2 at its relaxed geometry (PBE).

Summary:
Magnetic moment, μB/atom: 0.00
E above lowest polymorph, meV per atom: 2.1
D(E_F), states/eV/atom: 0.948

a b c (Å): 7.3978 7.3978 7.3978
angles (deg): 90.00 90.00 90.00
Closest atoms and distances in Å follow each position.
Space group Fm-3m (No. 225)
Inequivalent atoms, fractional coordinates:
1 Dy 0.0000 0.0000 0.0000 (multiplicity 4)  8 Hg 3.20
2 Tm 0.0000 0.0000 0.5000 (multiplicity 4)  8 Hg 3.20
3 Hg 0.2500 0.2500 0.2500 (multiplicity 8)  4 Tm 3.20, 4 Dy 3.20



Entry from the Alexandria database: crystalline Dy3TmHg4 at its relaxed geometry (PBE).

Summary:
Magnetic moment, μB/atom: 0.00
E above lowest polymorph, meV per atom: 198.1
D(E_F), states/eV/atom: 0.732

a b c (Å): 14.1053 5.3092 5.9716
angles (deg): 90.00 107.69 90.00
Closest atoms and distances in Å follow each position.
Space group C2/m (No. 12)
Inequivalent atoms, fractional coordinates:
1 Dy 0.0000 0.0000 0.0000 (multiplicity 2)  4 Hg 3.08
2 Dy 0.1667 0.0000 0.5798 (multiplicity 4)  5 Hg 3.05-3.37
3 Tm 0.0000 0.5000 0.5000 (multiplicity 2)  2 Hg 2.97
4 Hg 0.1116 0.5000 0.1508 (multiplicity 4)  1 Tm 2.97, 2 Hg 3.01-3.12, 3 Dy 3.05-3.08
5 Hg 0.2393 0.5000 0.8289 (multiplicity 4)  5 Hg 3.01-3.37, 3 Dy 3.06-3.11, 1 Tm 3.35



Entry from the Alexandria database: crystalline Dy3Tm4Hg4 at its relaxed geometry (PBE).

Summary:
E_tot, eV/atom: -3.250
Magnetic moment, μB/atom: 0.00
D(E_F), states/eV/atom: 0.616

a b c (Å): 5.1321 7.1717 16.5327
angles (deg): 90.00 90.00 90.00
Closest atoms and distances in Å follow each position.
Space group Immm (No. 71)
Inequivalent atoms, fractional coordinates:
1 Dy 0.0000 0.0000 0.0000 (multiplicity 2)  6 Hg 3.09-3.31
2 Dy 0.0000 0.5000 0.1033 (multiplicity 4)  1 Dy 3.41, 4 Hg 3.42, 4 Tm 3.44
3 Tm 0.0000 0.2678 0.3218 (multiplicity 8)  4 Hg 2.95-3.06
4 Hg 0.0000 0.0000 0.1867 (multiplicity 4)  6 Tm 2.95-3.06, 1 Dy 3.09
5 Hg 0.0000 0.2081 0.5000 (multiplicity 4)  2 Tm 2.98, 1 Hg 2.98, 2 Dy 3.31



Entry from the Alexandria database: crystalline Dy3Tm2Hg6 at its relaxed geometry (PBE).

Summary:
E_tot, eV/atom: -2.333
Magnetic moment, μB/atom: 0.00
D(E_F), states/eV/atom: 0.586

a b c (Å): 5.0775 5.0775 26.2179
angles (deg): 90.00 90.00 90.00
Closest atoms and distances in Å follow each position.
Space group I4/mmm (No. 139)
Inequivalent atoms, fractional coordinates:
1 Dy 0.0000 0.0000 0.0000 (multiplicity 2)  8 Hg 3.08
2 Dy 0.0000 0.0000 0.1410 (multiplicity 4)  5 Hg 3.08-3.20
3 Tm 0.0000 0.0000 0.3739 (multiplicity 4)  5 Hg 2.98-3.02
4 Hg 0.0000 0.0000 0.2586 (multiplicity 4)  1 Tm 3.02, 1 Dy 3.08
5 Hg 0.0000 0.5000 0.0664 (multiplicity 8)  2 Tm 2.98, 4 Dy 3.08-3.20



Entry from the Alexandria database: crystalline DyTm8Hg2 at its relaxed geometry (PBE).

Summary:
E_tot, eV/atom: -3.766
Magnetic moment, μB/atom: 0.00
D(E_F), states/eV/atom: 1.351

a b c (Å): 8.7745 14.6177 5.4283
angles (deg): 90.00 110.26 90.00
Closest atoms and distances in Å follow each position.
Space group C2/m (No. 12)
Inequivalent atoms, fractional coordinates:
1 Dy 0.0000 0.0000 0.0000 (multiplicity 2)  12 Tm 3.26-3.64
2 Tm 0.0000 0.2251 0.0000 (multiplicity 4)  2 Hg 2.97, 1 Dy 3.29
3 Tm 0.1036 0.5000 0.7996 (multiplicity 4)  4 Tm 3.13-3.50, 2 Hg 3.22, 1 Dy 3.26
4 Tm 0.2056 0.1149 0.6075 (multiplicity 8)  2 Hg 3.06-3.28, 2 Tm 3.36-3.39
5 Hg 0.0000 0.3075 0.5000 (multiplicity 4)  8 Tm 2.97-3.28



Entry from the Alexandria database: crystalline Dy3Tm2Hg2 at its relaxed geometry (PBE).

Summary:
Magnetic moment, μB/atom: 0.00
E above lowest polymorph, meV per atom: 62.2
D(E_F), states/eV/atom: 1.552

a b c (Å): 3.5404 32.0653 3.5176
angles (deg): 90.00 90.00 90.00
Closest atoms and distances in Å follow each position.
Space group Cmmm (No. 65)
Inequivalent atoms, fractional coordinates:
1 Dy 0.0000 0.0000 0.0000 (multiplicity 2)  8 Hg 3.22, 4 Dy 3.52-3.54
2 Dy 0.0000 0.1279 0.0000 (multiplicity 4)  4 Hg 3.24, 4 Tm 3.50, 4 Dy 3.52-3.54
3 Tm 0.0000 0.2956 0.5000 (multiplicity 4)  6 Tm 3.42-3.54, 4 Dy 3.50
4 Hg 0.0000 0.4367 0.5000 (multiplicity 4)  8 Dy 3.22-3.24, 4 Hg 3.52-3.54



Entry from the Alexandria database: crystalline Dy2TmHg at its relaxed geometry (PBE).

Summary:
Magnetic moment, μB/atom: 0.11
E above lowest polymorph, meV per atom: 69.9
D(E_F), states/eV/atom: 1.380

a b c (Å): 3.6256 3.6256 31.2066
angles (deg): 90.00 90.00 120.00
Closest atoms and distances in Å follow each position.
Space group R3m (No. 160, hexagonal axes)
Inequivalent atoms, fractional coordinates:
1 Dy 0.0000 0.0000 0.0000 (multiplicity 3)  3 Hg 3.19, 3 Tm 3.50
2 Dy 0.0000 0.0000 0.1796 (multiplicity 3)  3 Hg 3.18, 3 Tm 3.50
3 Tm 0.0000 0.0000 0.4230 (multiplicity 3)  6 Dy 3.50, 6 Tm 3.63
4 Hg 0.0000 0.0000 0.5895 (multiplicity 3)  6 Dy 3.18-3.19



Entry from the Alexandria database: crystalline DyTm2Hg at its relaxed geometry (PBE).

Summary:
Magnetic moment, μB/atom: 0.00
E above lowest polymorph, meV per atom: 66.8
D(E_F), states/eV/atom: 0.864

a b c (Å): 3.5631 3.5631 31.3454
angles (deg): 90.00 90.00 120.00
Closest atoms and distances in Å follow each position.
Space group R-3m (No. 166, hexagonal axes)
Inequivalent atoms, fractional coordinates:
1 Dy 0.0000 0.0000 0.0000 (multiplicity 3)  6 Tm 3.51, 6 Dy 3.56
2 Tm 0.0000 0.0000 0.2427 (multiplicity 6)  3 Hg 3.15, 3 Dy 3.51
3 Hg 0.0000 0.0000 0.5000 (multiplicity 3)  6 Tm 3.15



Entry from the Alexandria database: crystalline Dy2TmHg at its relaxed geometry (PBE).

Summary:
Magnetic moment, μB/atom: 0.00
E above lowest polymorph, meV per atom: 0.0
D(E_F), states/eV/atom: 0.964

a b c (Å): 3.6247 12.7194 9.9193
angles (deg): 90.00 90.00 90.00
Closest atoms and distances in Å follow each position.
Space group Cmcm (No. 63)
Inequivalent atoms, fractional coordinates:
1 Dy 0.0000 0.1293 0.0441 (multiplicity 8)  3 Hg 3.13-3.30, 1 Dy 3.40
2 Tm 0.0000 0.4531 0.2500 (multiplicity 4)  2 Hg 3.16, 4 Dy 3.53
3 Hg 0.0000 0.2508 0.7500 (multiplicity 4)  6 Dy 3.13-3.30, 2 Tm 3.16



Entry from the Alexandria database: crystalline Dy4Tm9Hg11 at its relaxed geometry (PBE).

Summary:
E_tot, eV/atom: -2.945
Magnetic moment, μB/atom: 0.05
D(E_F), states/eV/atom: 0.917

a b c (Å): 15.6883 22.1434 3.5266
angles (deg): 90.00 90.00 90.00
Closest atoms and distances in Å follow each position.
Space group Cmmm (No. 65)
Inequivalent atoms, fractional coordinates:
1 Dy 0.1630 0.0847 0.0000 (multiplicity 8)  3 Tm 3.17-3.53, 6 Hg 3.18-3.26, 2 Dy 3.53
2 Tm 0.0000 0.0000 0.0000 (multiplicity 2)  4 Dy 3.17, 4 Hg 3.38, 2 Tm 3.53
3 Tm 0.1124 0.4089 0.0000 (multiplicity 8)  8 Hg 3.15-3.23, 1 Dy 3.53, 3 Tm 3.53
4 Tm 0.1155 0.2356 0.0000 (multiplicity 8)  8 Hg 3.15-3.44, 1 Dy 3.42, 2 Tm 3.53
5 Hg 0.0000 0.1300 0.5000 (multiplicity 4)  4 Dy 3.26, 6 Tm 3.38-3.44, 2 Hg 3.53
6 Hg 0.0000 0.3208 0.5000 (multiplicity 4)  8 Tm 3.15-3.17, 2 Hg 3.53
7 Hg 0.0000 0.5000 0.5000 (multiplicity 2)  8 Tm 3.21, 4 Hg 3.42-3.53
8 Hg 0.2182 0.5000 0.5000 (multiplicity 4)  4 Tm 3.15, 4 Dy 3.18, 3 Hg 3.42-3.53
9 Hg 0.2325 0.3214 0.5000 (multiplicity 8)  6 Tm 3.18-3.23, 2 Dy 3.18, 3 Hg 3.21-3.53



Entry from the Alexandria database: crystalline Dy3TmHg4 at its relaxed geometry (PBE).

Summary:
Magnetic moment, μB/atom: 0.00
E above lowest polymorph, meV per atom: 0.0
D(E_F), states/eV/atom: 1.045

a b c (Å): 3.7040 3.7040 14.8938
angles (deg): 90.00 90.00 90.00
Closest atoms and distances in Å follow each position.
Space group P4/mmm (No. 123)
Inequivalent atoms, fractional coordinates:
1 Dy 0.0000 0.0000 0.0000 (multiplicity 1)  8 Hg 3.22
2 Dy 0.0000 0.0000 0.2518 (multiplicity 2)  8 Hg 3.23
3 Tm 0.0000 0.0000 0.5000 (multiplicity 1)  8 Hg 3.18
4 Hg 0.5000 0.5000 0.1253 (multiplicity 2)  8 Dy 3.22-3.23
5 Hg 0.5000 0.5000 0.3789 (multiplicity 2)  4 Tm 3.18, 4 Dy 3.23



Entry from the Alexandria database: crystalline Dy6Tm2Hg at its relaxed geometry (PBE).

Summary:
E_tot, eV/atom: -4.065
Magnetic moment, μB/atom: 0.00
D(E_F), states/eV/atom: 1.218

a b c (Å): 9.2263 17.2050 3.5283
angles (deg): 90.00 90.00 90.00
Closest atoms and distances in Å follow each position.
Space group Cmmm (No. 65)
Inequivalent atoms, fractional coordinates:
1 Dy 0.1772 0.1622 0.0000 (multiplicity 8)  1 Hg 3.23, 6 Dy 3.27-3.53, 4 Tm 3.48-3.60
2 Dy 0.2026 0.5000 0.5000 (multiplicity 4)  2 Hg 3.26, 6 Dy 3.48-3.53, 2 Tm 3.65
3 Tm 0.0000 0.3177 0.5000 (multiplicity 4)  10 Dy 3.48-3.65, 2 Tm 3.53
4 Hg 0.0000 0.0000 0.0000 (multiplicity 2)  8 Dy 3.23-3.26, 2 Hg 3.53



Entry from the Alexandria database: crystalline DyTm7Hg4 at its relaxed geometry (PBE).

Summary:
E_tot, eV/atom: -3.173
Magnetic moment, μB/atom: 0.00
D(E_F), states/eV/atom: 0.990

a b c (Å): 14.4328 5.6236 9.6122
angles (deg): 90.00 122.08 90.00
Closest atoms and distances in Å follow each position.
Space group C2/m (No. 12)
Inequivalent atoms, fractional coordinates:
1 Dy 0.0000 0.0000 0.0000 (multiplicity 2)  2 Tm 2.81
2 Tm 0.0000 0.5000 0.0000 (multiplicity 2)  2 Dy 2.81, 4 Hg 2.93-3.06
3 Tm 0.0675 0.0000 0.4068 (multiplicity 4)  3 Hg 3.04-3.16, 1 Tm 3.27
4 Tm 0.2083 0.0000 0.8841 (multiplicity 4)  4 Hg 3.19-3.54, 5 Tm 3.39-3.52
5 Tm 0.2337 0.5000 0.6861 (multiplicity 4)  4 Hg 2.91-3.08
6 Hg 0.0468 0.5000 0.7243 (multiplicity 4)  4 Tm 2.91-3.16, 1 Hg 3.12
7 Hg 0.1889 0.5000 0.3387 (multiplicity 4)  6 Tm 2.93-3.19, 1 Hg 3.12



Entry from the Alexandria database: crystalline Dy3TmHg12 at its relaxed geometry (PBE).

Summary:
E_tot, eV/atom: -1.675
Magnetic moment, μB/atom: 0.00
D(E_F), states/eV/atom: 0.589

a b c (Å): 4.5035 4.5035 19.2176
angles (deg): 90.00 90.00 90.00
Closest atoms and distances in Å follow each position.
Space group P4/mmm (No. 123)
Inequivalent atoms, fractional coordinates:
1 Dy 0.0000 0.0000 0.0000 (multiplicity 1)  12 Hg 3.18-3.30
2 Dy 0.0000 0.0000 0.2510 (multiplicity 2)  12 Hg 3.18-3.30
3 Tm 0.0000 0.0000 0.5000 (multiplicity 1)  12 Hg 3.18-3.28
4 Hg 0.0000 0.5000 0.1253 (multiplicity 4)  8 Hg 3.18-3.30, 4 Dy 3.30
5 Hg 0.0000 0.5000 0.3762 (multiplicity 4)  8 Hg 3.18-3.30, 2 Tm 3.28, 2 Dy 3.30
6 Hg 0.5000 0.5000 0.0000 (multiplicity 1)  4 Dy 3.18, 8 Hg 3.30
7 Hg 0.5000 0.5000 0.2506 (multiplicity 2)  4 Dy 3.18, 8 Hg 3.30
8 Hg 0.5000 0.5000 0.5000 (multiplicity 1)  4 Tm 3.18, 8 Hg 3.28



Entry from the Alexandria database: crystalline DyTm3Hg4 at its relaxed geometry (PBE).

Summary:
E_tot, eV/atom: -2.882
Magnetic moment, μB/atom: 0.00
D(E_F), states/eV/atom: 0.793

a b c (Å): 5.1845 5.1845 7.4525
angles (deg): 90.00 90.00 90.00
Closest atoms and distances in Å follow each position.
Space group P4/mmm (No. 123)
Inequivalent atoms, fractional coordinates:
1 Dy 0.0000 0.0000 0.0000 (multiplicity 1)  8 Hg 3.21
2 Tm 0.0000 0.0000 0.5000 (multiplicity 1)  8 Hg 3.18
3 Tm 0.5000 0.5000 0.0000 (multiplicity 1)  8 Hg 3.21
4 Tm 0.5000 0.5000 0.5000 (multiplicity 1)  8 Hg 3.18
5 Hg 0.0000 0.5000 0.2536 (multiplicity 4)  6 Tm 3.18-3.21, 2 Dy 3.21